(1)
Mg3Sn3PdRh2 | GGA-PBE | optimized geometry

Unit cell a=3.389 b=7.499 c=7.499 alpha=120.00 beta=90.00 gamma=90.00
Fractional coordinates of all 9 atoms:
Mg 0.500 0.723 0.000
Mg 0.500 0.000 0.723
Mg 0.500 0.277 0.277
Sn 0.000 0.619 0.619
Sn 0.000 0.000 0.381
Sn 0.000 0.381 0.000
Pd 0.000 0.000 0.000
Rh 0.500 0.667 0.333
Rh 0.500 0.333 0.667

Results
As for the density of states at the Fermi level: 0.28 states/eV/atom. The calculation puts the energy relative to the elements at -46.0 kJ/mol of atoms. The calculation puts the mass density at 7.5 g/cm³. As for the space-group type: No. 189.

(2)
SrSm3 | GGA-PBE | optimized geometry

Unit cell a=3.730 b=5.984 c=6.678 alpha=90.00 beta=90.00 gamma=90.00
Fractional coordinates of all 4 atoms:
Sr 0.000 0.500 0.327
Sm 0.000 0.000 0.990
Sm 0.500 0.000 0.522
Sm 0.500 0.500 0.827

Results
As for the density of states at the Fermi level: 1.61 states/eV/atom. The calculation puts the energy relative to the elements at 14.1 kJ/mol of atoms. The calculation puts the mass density at 6.0 g/cm³. As for the space-group type: No. 25.

(3)
Be5Cd4 | GGA-PBE | optimized geometry

Unit cell a=7.429 b=7.429 c=5.522 alpha=90.00 beta=90.00 gamma=120.00
Fractional coordinates of all 18 atoms:
Be 0.000 0.673 0.250
Be 0.327 0.327 0.250
Be 0.673 0.000 0.250
Be 0.000 0.327 0.750
Be 0.673 0.673 0.750
Be 0.327 0.000 0.750
Be 0.667 0.333 0.000
Be 0.333 0.667 0.500
Be 0.333 0.667 0.000
Be 0.667 0.333 0.500
Cd 0.000 0.000 0.000
Cd 0.000 0.000 0.500
Cd 0.000 0.355 0.250
Cd 0.645 0.645 0.250
Cd 0.355 0.000 0.250
Cd 0.000 0.645 0.750
Cd 0.355 0.355 0.750
Cd 0.645 0.000 0.750

Results
As for the density of states at the Fermi level: 0.21 states/eV/atom. The calculation puts the energy above the most stable polymorph in this dataset at 183 meV per atom. The calculation puts the energy relative to the elements at 57.3 kJ/mol of atoms. The calculation puts the mass density at 6.2 g/cm³. As for the space-group type: No. 193.

(4)
SrY3Tl | GGA-PBE | optimized geometry

Unit cell a=5.871 b=5.871 c=5.871 alpha=90.00 beta=90.00 gamma=90.00
Fractional coordinates of all 5 atoms:
Y 0.000 0.500 0.000
Y 0.000 0.000 0.500
Y 0.500 0.000 0.000
Sr 0.500 0.500 0.500
Tl 0.000 0.000 0.000

Results
As for the density of states at the Fermi level: 0.90 states/eV/atom. The calculation puts the energy above the most stable polymorph in this dataset at 0 meV per atom. The calculation puts the energy relative to the elements at 21.9 kJ/mol of atoms. The calculation puts the mass density at 4.6 g/cm³. As for the space-group type: No. 221.

(5)
NbPPbO2 | GGA-PBE | optimized geometry

Unit cell a=4.061 b=4.061 c=5.599 alpha=90.00 beta=90.00 gamma=90.00
Site moments in Bohr magnetons follow the coordinates.
Fractional coordinates of all 5 atoms:
Pb 0.000 0.000 0.000  -0.01
P 0.000 0.000 0.500  -0.11
Nb 0.500 0.500 0.500  1.68
O 0.000 0.500 0.000  0.00
O 0.500 0.000 0.000  0.00

Results
As for the density of states at the Fermi level: 0.53 states/eV/atom. The calculation puts the energy above the most stable polymorph in this dataset at 1611 meV per atom. The uncorrected formation energy is 0.318 eV/atom. The calculation puts the mass density at 6.5 g/cm³. As for the space-group type: No. 123.

(6)
VCdGa2 | GGA-PBE | optimized geometry

Unit cell a=3.390 b=3.390 c=6.097 alpha=90.00 beta=90.00 gamma=90.00
Site moments in Bohr magnetons follow the coordinates.
Fractional coordinates of all 4 atoms:
V 0.500 0.500 0.000  1.81
Ga 0.000 0.000 0.783  0.02
Ga 0.000 0.000 0.217  0.02
Cd 0.500 0.500 0.500  0.01

Results
As for the density of states at the Fermi level: 0.76 states/eV/atom. The calculation puts the energy relative to the elements at 11.7 kJ/mol of atoms. The calculation puts the mass density at 7.2 g/cm³. As for the space-group type: No. 123.

(7)
Tb2ErTm2 | GGA-PBE | optimized geometry

Unit cell a=4.970 b=6.079 c=11.111 alpha=89.98 beta=90.00 gamma=114.13
Fractional coordinates of all 10 atoms:
Tb 0.350 0.700 0.450
Tb 0.450 0.901 0.150
Tb 0.650 0.300 0.550
Tb 0.550 0.099 0.850
Er 0.750 0.499 0.249
Er 0.250 0.501 0.751
Tm 0.950 0.900 0.650
Tm 0.150 0.301 0.050
Tm 0.050 0.100 0.350
Tm 0.850 0.699 0.950

Results
As for the density of states at the Fermi level: 1.39 states/eV/atom. The calculation puts the energy above the most stable polymorph in this dataset at 0 meV per atom. The calculation puts the energy relative to the elements at 2.1 kJ/mol of atoms. The calculation puts the mass density at 8.9 g/cm³. As for the space-group type: No. 12.

(8)
NaLiN2O | GGA-PBE | optimized geometry

Unit cell a=4.214 b=4.214 c=3.787 alpha=90.00 beta=90.00 gamma=90.00
Site moments in Bohr magnetons follow the coordinates.
Fractional coordinates of all 5 atoms:
Na 0.500 0.500 0.500  0.00
Li 0.000 0.000 0.000  0.03
O 0.000 0.000 0.500  0.99
N 0.000 0.500 0.000  1.63
N 0.500 0.000 0.000  1.63

Results
As for the density of states at the Fermi level: 0.35 states/eV/atom. The uncorrected formation energy is 1.154 eV/atom. The calculation puts the mass density at 1.8 g/cm³. As for the space-group type: No. 123.